Entry from the Alexandria database: a geometry-optimized PmPr2Ho5Sc structure (GGA-PBE).

a = 10.2747 Å, b = 10.2747 Å, c = 10.4732 Å
α = 90.00°, β = 90.00°, γ = 148.38°
Fractional positions:
Pm (0.0875, 0.9125, 0.5000)
Pm (0.9125, 0.0875, 0.0000)
Pr (0.3848, 0.6152, 0.7747)
Pr (0.3872, 0.6128, 0.3559)
Pr (0.6128, 0.3872, 0.8559)
Pr (0.6152, 0.3848, 0.2747)
Ho (0.0175, 0.9825, 0.7808)
Ho (0.1249, 0.8751, 0.0599)
Ho (0.2031, 0.7969, 0.7444)
Ho (0.2232, 0.7768, 0.3639)
Ho (0.4830, 0.5170, 0.0608)
Ho (0.5170, 0.4830, 0.5608)
Ho (0.7768, 0.2232, 0.8639)
Ho (0.7969, 0.2031, 0.2444)
Ho (0.8751, 0.1249, 0.5599)
Ho (0.9825, 0.0175, 0.2808)
Sc (0.3030, 0.6970, 0.0556)
Sc (0.6970, 0.3030, 0.5556)

Properties
Energy of formation from the pure elements: 1.41 eV per formula unit
Crystal system: orthorhombic
DOS(E_F): 1.313 states/eV per atom